No. 1
A plane-wave DFT calculation with GGA-PBE was carried out for an optimized crystal structure of Ce4TlB3Rh12.

## Properties
**Calculated total energy**: -288.0 eV for the cell shown
**Total moment**: 1.65 Bohr magnetons per cell
**Formation energy from the elements**: -0.483 eV/atom

a b c (Å): 8.800 8.800 8.800
angles (deg): 90.00 90.00 90.00
Space group Im-3m (No. 229)
Inequivalent atoms, fractional coordinates:
Ce  0.250  0.250  0.250 x8
Tl  0.000  0.000  0.000 x2
B  0.000  0.000  0.500 x6
Rh  0.000  0.000  0.284 x12
Rh  0.000  0.250  0.500 x12

No. 2
A plane-wave DFT calculation with GGA-PBE was carried out for an optimized crystal structure of AlInTe2.

## Properties
**Calculated total energy**: -36.6 eV for the cell shown
**Formation energy without anion corrections**: 0.58 eV/f.u.
**Total moment**: 0.00 Bohr magnetons per cell

a b c (Å): 3.2412 3.2412 36.0815
angles (deg): 90.00 90.00 120.00
Space group R-3m (No. 166, hexagonal axes)
Inequivalent atoms, fractional coordinates:
Al  0.0000  0.0000  0.0000 x3
In  0.0000  0.0000  0.5000 x3
Te  0.0000  0.0000  0.0779 x6

No. 3
A plane-wave DFT calculation with GGA-PBE was carried out for an optimized crystal structure of Pm2Si4Mo3.

## Properties
**Calculated total energy**: -138.1 eV for the cell shown
**Formation energy without anion corrections**: -5.37 eV/f.u.
**Total moment**: 0.00 Bohr magnetons per cell

a b c (Å): 6.947 7.004 6.863
angles (deg): 90.00 109.00 90.00
Space group P2_1/c (No. 14)
Inequivalent atoms, fractional coordinates:
Pm  0.189  0.168  0.061 x4
Si  0.094  0.548  0.873 x4
Si  0.493  0.632  0.628 x4
Mo  0.254  0.661  0.250 x4
Mo  0.500  0.000  0.500 x2